An optimized crystal structure of SiPtWF2, computed with PBE+U.

- Size of the total moment: 1.80 μB/f.u.
- Energy: -4.313 eV/atom

Cell lengths 3.9465, 3.9465, 5.8479 Å; angles 90.00, 90.00, 90.00 degrees
Sites, in units of the cell vectors:
1 Si 0.0000 0.0000 0.0000
2 Pt 0.5000 0.5000 0.5000
3 W 0.5000 0.5000 0.0000
4 F 0.0000 0.5000 0.5000
5 F 0.5000 0.0000 0.5000